1.
The following is a DFT calculation (PBE-GGA) of crystalline CaReW2 at its relaxed geometry.

Properties
Total moment, μB/cell: 0.0
Calculated formation energy, eV/atom: 0.592
Energy above the lowest structure with this stoichiometry, kJ/mol of atoms: 8.3
Calculated total energy, eV/atom: -9.497

Cell and atoms, written as CIF:
```
data_CaReW2
_chemical_formula_sum 'Ca1 Re1 W2'
_cell_length_a 3.158
_cell_length_b 3.158
_cell_length_c 7.619
_cell_angle_alpha 90.00
_cell_angle_beta 90.00
_cell_angle_gamma 90.00
_space_group_name_H-M_alt 'P 4 m m'
_space_group_IT_number 99
loop_
_space_group_symop_operation_xyz
'x,y,z'
'-y,x,z'
'-x,-y,z'
'y,-x,z'
'-x,y,z'
'y,x,z'
'x,-y,z'
'-y,-x,z'
loop_
_atom_site_label
_atom_site_fract_x
_atom_site_fract_y
_atom_site_fract_z
Ca1 0.000 0.000 0.000
Re1 0.500 0.500 0.294
W1 0.000 0.000 0.482
W2 0.500 0.500 0.687
```


2.
The following is a DFT calculation (PBE-GGA) of crystalline Li4In3Ag5 at its relaxed geometry.

Properties
Total moment, μB/cell: 0.0
Calculated formation energy, eV/atom: -0.163
Calculated total energy, eV/atom: -2.673

Cell and atoms, written as CIF:
```
data_Li4In3Ag5
_chemical_formula_sum 'Li4 In3 Ag5'
_cell_length_a 4.523
_cell_length_b 5.150
_cell_length_c 10.708
_cell_angle_alpha 79.40
_cell_angle_beta 79.30
_cell_angle_gamma 67.47
_space_group_name_H-M_alt 'P -1'
_space_group_IT_number 2
loop_
_space_group_symop_operation_xyz
'x,y,z'
'-x,-y,-z'
loop_
_atom_site_label
_atom_site_fract_x
_atom_site_fract_y
_atom_site_fract_z
Li1 0.075 0.029 0.348
Li2 0.353 0.760 0.036
In1 0.000 0.500 0.500
In2 0.259 0.160 0.798
Ag1 0.058 0.287 0.107
Ag2 0.432 0.424 0.268
Ag3 0.500 0.000 0.500
```


3.
The following is a DFT calculation (PBE-GGA) of crystalline SrFeAg2 at its relaxed geometry.

Properties
Total moment, μB/cell: 3.0
Calculated formation energy, eV/atom: 0.335
Energy above the lowest structure with this stoichiometry, kJ/mol of atoms: 14.9
Calculated total energy, eV/atom: -3.627

Cell and atoms, written as CIF:
```
data_SrFeAg2
_chemical_formula_sum 'Sr1 Fe1 Ag2'
_cell_length_a 3.560
_cell_length_b 3.560
_cell_length_c 6.972
_cell_angle_alpha 90.00
_cell_angle_beta 90.00
_cell_angle_gamma 90.00
_space_group_name_H-M_alt 'P 4 m m'
_space_group_IT_number 99
loop_
_space_group_symop_operation_xyz
'x,y,z'
'-y,x,z'
'-x,-y,z'
'y,-x,z'
'-x,y,z'
'y,x,z'
'x,-y,z'
'-y,-x,z'
loop_
_atom_site_label
_atom_site_fract_x
_atom_site_fract_y
_atom_site_fract_z
Sr1 0.000 0.000 0.000
Fe1 0.500 0.500 0.691
Ag1 0.000 0.000 0.521
Ag2 0.500 0.500 0.305
```


4.
The following is a DFT calculation (PBE-GGA) of crystalline Nd6Te3CS2 at its relaxed geometry.

Properties
Total moment, μB/cell: 0.0
Calculated total energy, eV/atom: -6.078
Energy relative to the elements, uncorrected, kJ/mol of atoms: -140.1

Cell and atoms, written as CIF:
```
data_Nd6Te3CS2
_chemical_formula_sum 'Nd12 Te6 C2 S4'
_cell_length_a 7.207
_cell_length_b 12.466
_cell_length_c 7.607
_cell_angle_alpha 90.00
_cell_angle_beta 108.32
_cell_angle_gamma 90.00
_space_group_name_H-M_alt 'C 1 2/m 1'
_space_group_IT_number 12
loop_
_space_group_symop_operation_xyz
'x,y,z'
'-x,-y,-z'
'-x,y,-z'
'x,-y,z'
'x+1/2,y+1/2,z'
'-x+1/2,-y+1/2,-z'
'-x+1/2,y+1/2,-z'
'x+1/2,-y+1/2,z'
loop_
_atom_site_label
_atom_site_fract_x
_atom_site_fract_y
_atom_site_fract_z
Nd1 0.221 0.155 0.201
Nd2 0.240 0.000 0.794
Te1 0.000 0.173 0.500
Te2 0.000 0.500 0.500
C1 0.000 0.000 0.000
S1 0.000 0.334 0.000
```


5.
The following is a DFT calculation (PBE-GGA) of crystalline SrLaCd2 at its relaxed geometry.

Properties
Total moment, μB/cell: 0.0
Calculated formation energy, eV/atom: -0.026
Calculated total energy, eV/atom: -2.136

Cell and atoms, written as CIF:
```
data_SrLaCd2
_chemical_formula_sum 'Sr3 La3 Cd6'
_cell_length_a 3.9207
_cell_length_b 3.9207
_cell_length_c 31.3701
_cell_angle_alpha 90.00
_cell_angle_beta 90.00
_cell_angle_gamma 120.00
_space_group_name_H-M_alt 'R 3 m'
_space_group_IT_number 160
_space_group_name_Hall 'R 3 -2"'
loop_
_atom_site_label
_atom_site_fract_x
_atom_site_fract_y
_atom_site_fract_z
Sr1 0.0000 0.0000 0.0000
La1 0.0000 0.0000 0.2235
Cd1 0.0000 0.0000 0.4774
Cd2 0.0000 0.0000 0.7485
```


6.
The following is a DFT calculation (PBE-GGA) of crystalline MnIrPt3 at its relaxed geometry.

Properties
Total moment, μB/cell: 0.1
Calculated formation energy, eV/atom: 1.363
Energy above the lowest structure with this stoichiometry, kJ/mol of atoms: 8.4
Calculated total energy, eV/atom: -5.868

Cell and atoms, written as CIF:
```
data_MnIrPt3
_chemical_formula_sum 'Mn1 Ir1 Pt3'
_cell_length_a 4.477
_cell_length_b 4.477
_cell_length_c 4.477
_cell_angle_alpha 90.00
_cell_angle_beta 90.00
_cell_angle_gamma 90.00
_space_group_name_H-M_alt 'P m -3 m'
_space_group_IT_number 221
_space_group_name_Hall '-P 4 2 3'
loop_
_atom_site_label
_atom_site_fract_x
_atom_site_fract_y
_atom_site_fract_z
Mn1 0.000 0.000 0.000
Ir1 0.500 0.500 0.500
Pt1 0.000 0.000 0.500
```


7.
The following is a DFT calculation (PBE-GGA) of crystalline Re2Ru2W at its relaxed geometry.

Properties
Total moment, μB/cell: 0.0
Calculated formation energy, eV/atom: 0.244
Calculated total energy, eV/atom: -11.036

Cell and atoms, written as CIF:
```
data_Re2Ru2W
_chemical_formula_sum 'Re4 Ru4 W2'
_cell_length_a 7.449
_cell_length_b 7.449
_cell_length_c 2.757
_cell_angle_alpha 90.00
_cell_angle_beta 90.00
_cell_angle_gamma 90.00
_space_group_name_H-M_alt 'P 4/m b m'
_space_group_IT_number 127
_space_group_name_Hall '-P 4 2ab'
loop_
_atom_site_label
_atom_site_fract_x
_atom_site_fract_y
_atom_site_fract_z
Re1 0.172 0.328 0.000
Ru1 0.124 0.624 0.500
W1 0.000 0.000 0.500
```